## ReSe2 (GGA-PBEsol)

Data for a relaxed ReSe2 crystal.

Cell: 6.5812 6.6983 6.8417 Å, 71.36 76.62 61.27°
Last column: nearest neighbours and their distance in Å.
Sites, in units of the cell vectors:
Se  0.1646  0.8498  0.6919  3 Re 2.56-2.59
Se  0.3798  0.1230  0.2803  3 Re 2.49-2.62
Re  0.9879  0.7097  0.4972  6 Se 2.47-2.59, 1 Re 2.72
Se  0.3413  0.6799  0.2410  3 Re 2.43-2.53
Se  0.6202  0.8770  0.7197  3 Re 2.49-2.62
Re  0.0121  0.2903  0.5028  6 Se 2.47-2.59, 1 Re 2.72
Se  0.8872  0.6381  0.2078  3 Re 2.47
Se  0.6587  0.3201  0.7590  3 Re 2.43-2.53
Se  0.8354  0.1502  0.3081  3 Re 2.56-2.59
Se  0.1128  0.3619  0.7922  3 Re 2.47
Re  0.5688  0.6837  0.4905  6 Se 2.43-2.62
Re  0.4312  0.3163  0.5095  6 Se 2.43-2.62

mass density: 9.2 g/cm3
E_form (uncorrected): -0.413 eV/atom
magnetic moment: 0.00 μB/f.u.
space group: P-1 (2)

## ReSe2 (GGA-PBEsol)

Data for a relaxed ReSe2 crystal.

Cell: 3.1602 4.9308 7.6308 Å, 90.00 101.95 90.00°
Last column: nearest neighbours and their distance in Å.
Sites, in units of the cell vectors:
Re  0.3373  0.2500  0.6746  6 Se 2.42-2.60
Se  0.3011  0.7500  0.6021  4 Re 2.52-2.60
Se  0.9598  0.2500  0.9197  2 Re 2.42
Se  0.6989  0.2500  0.3979  4 Re 2.52-2.60
Re  0.6627  0.7500  0.3254  6 Se 2.42-2.60
Se  0.0402  0.7500  0.0803  2 Re 2.42

mass density: 9.8 g/cm3
E_form (uncorrected): 0.046 eV/atom
magnetic moment: 0.00 μB/f.u.
space group: Cmcm (63)

## ReSe (GGA-PBEsol)

Data for a relaxed ReSe crystal.

Cell: 2.9635 3.0264 4.1059 Å, 90.00 90.00 119.31°
Last column: nearest neighbours and their distance in Å.
Sites, in units of the cell vectors:
Re  0.0000  0.0000  0.0000  4 Se 2.53
Se  0.5000  0.0000  0.5000  4 Re 2.53

mass density: 13.7 g/cm3
E_form (uncorrected): 0.998 eV/atom
magnetic moment: 0.00 μB/f.u.
energy above the lowest structure with this stoichiometry: 15.74 kcal/mol of atoms
space group: Cmmm (65)